[1]
# PBE BaCaPt, relaxed
data_BaCaPt
_chemical_formula_sum 'Ba1 Ca1 Pt1'
_space_group_name_H-M_alt 'P 1'
_space_group_IT_number 1
_cell_length_a 5.1789
_cell_length_b 5.1789
_cell_length_c 5.1789
_cell_angle_alpha 60.00
_cell_angle_beta 60.00
_cell_angle_gamma 60.00
loop_
_space_group_symop_operation_xyz
'x,y,z'
loop_
_atom_site_label
_atom_site_type_symbol
_atom_site_fract_x
_atom_site_fract_y
_atom_site_fract_z
Ca1 Ca 0.0000 0.0000 0.0000
Pt1 Pt 0.5000 0.5000 0.5000
Ba1 Ba 0.7500 0.7500 0.7500
# - DFT formation energy (eV/atom) = 0.119
# - space group = No. 216
# - density of states at the Fermi level (states/eV per atom) = 0.36
# - DFT total energy (eV per cell) = -9.61
# - V (Å³/atom) = 32.74

=====

[2]
# PBE Nb3CuSb, relaxed
data_Nb3CuSb
_chemical_formula_sum 'Nb3 Cu1 Sb1'
_space_group_name_H-M_alt 'P 1'
_space_group_IT_number 1
_cell_length_a 4.6803
_cell_length_b 4.6803
_cell_length_c 4.6803
_cell_angle_alpha 90.00
_cell_angle_beta 90.00
_cell_angle_gamma 90.00
loop_
_space_group_symop_operation_xyz
'x,y,z'
loop_
_atom_site_label
_atom_site_type_symbol
_atom_site_fract_x
_atom_site_fract_y
_atom_site_fract_z
Nb1 Nb 0.5000 0.0000 0.0000
Cu1 Cu 0.0000 0.0000 0.0000
Nb2 Nb 0.0000 0.5000 0.0000
Nb3 Nb 0.0000 0.0000 0.5000
Sb1 Sb 0.5000 0.5000 0.5000
# - formation energy without anion corrections (eV/atom) = 0.809
# - space group = No. 221
# - density of states at the Fermi level (states/eV per atom) = 1.28
# - DFT total energy (eV per cell) = -34.38
# - V (Å³/atom) = 20.50